(1)
# NaGaGe2

NaGaGe2 after structural relaxation (PBE-GGA, Alexandria via LeMat-Bulk).

Geometry as POSCAR:
```
NaGaGe2
1.0
2.7960 0.0000 0.0000
0.0000 5.7237 0.0000
0.0000 0.0000 9.7424
Na Ga Ge
2 2 4
Cartesian
0.0000 0.0000 0.0000
0.0000 2.8619 4.8712
1.3980 0.0000 4.8651
1.3980 2.8619 9.7363
1.3980 1.4332 2.4327
1.3980 1.4287 7.3039
1.3980 4.2905 2.4327
1.3980 4.2950 7.3039
```

Summary:
Size of the total moment in μB/f.u.: 0.0
Crystal system: orthorhombic
Space-group type: Amm2, No. 38
DFT total energy in eV/atom: -3.36
Formation enthalpy at 0 K in eV/f.u.: 0.13

(2)
# NaGaGe

NaGaGe after structural relaxation (PBE-GGA, Alexandria via LeMat-Bulk).

Geometry as POSCAR:
```
NaGaGe
1.0
3.7876 0.0000 0.0000
-0.0083 5.8401 0.0000
-1.8891 -2.8971 6.1623
Na Ga Ge
2 2 2
Cartesian
0.0000 0.0000 0.0000
-0.0005 0.0144 4.7360
-0.0047 2.9339 1.0118
1.8881 1.3825 2.3764
-0.0055 2.9331 3.6912
1.8873 4.4121 2.4414
```

Summary:
Size of the total moment in μB/f.u.: 0.0
Crystal system: triclinic
Space-group type: P1, No. 1
DFT total energy in eV/atom: -3.02
Formation enthalpy at 0 K in eV/f.u.: -0.09

(3)
# Na3Ga8Ge3

Na3Ga8Ge3 after structural relaxation (PBE-GGA, Alexandria via LeMat-Bulk).

Geometry as POSCAR:
```
Na3Ga8Ge3
1.0
-2.2204 5.1248 6.3080
2.2204 -5.1248 6.3080
2.2204 5.1248 -6.3080
Na Ga Ge
3 8 3
Cartesian
0.0000 0.0000 0.0000
0.0000 0.0000 3.8574
0.0000 0.0000 8.7586
2.2204 -1.2762 1.9580
2.2204 -2.3280 4.3829
2.2204 1.2762 1.9580
0.0000 2.7967 1.9251
2.2204 2.3280 4.3829
0.0000 3.8485 4.3500
0.0000 7.4528 1.9251
0.0000 6.4010 4.3500
2.2204 3.1187 0.0000
0.0000 5.1248 0.0000
0.0000 2.0061 6.3080
```

Summary:
Size of the total moment in μB/f.u.: 0.0
Crystal system: orthorhombic
Space-group type: Immm, No. 71
DFT total energy in eV/atom: -3.07
Formation enthalpy at 0 K in eV/f.u.: -0.93